Record 1
The following is a DFT calculation (PBE) of a geometry-optimized Dy2ReO6 structure.

abc: 5.448 5.732 7.947
angles: 90.00 96.85 90.00
Fractional coordinates of all 18 atoms:
O1 0.792 0.675 0.947
Dy1 0.041 0.585 0.232
O2 0.833 0.916 0.281
O3 0.641 0.232 0.901
O4 0.359 0.768 0.099
O5 0.667 0.416 0.219
O6 0.208 0.325 0.053
Re1 0.000 0.000 0.500
O7 0.708 0.175 0.553
O8 0.292 0.825 0.447
O9 0.859 0.732 0.599
Dy2 0.541 0.915 0.732
Dy3 0.959 0.415 0.768
O10 0.141 0.268 0.401
O11 0.167 0.084 0.719
Dy4 0.459 0.085 0.268
Re2 0.500 0.500 0.000
O12 0.333 0.584 0.781

Properties
V   13.69 Å³ per atom
Total DFT energy (no corrections)   -0.6142 Ry/atom

---

Record 2
The following is a DFT calculation (PBE) of a geometry-optimized AcPu2TcN4 structure.

abc: 3.511 6.192 11.947
angles: 90.00 90.00 106.47
Fractional coordinates of all 16 atoms:
Tc1 0.168 0.337 0.250
Pu1 0.631 0.263 0.048
N1 0.000 0.000 0.500
N2 0.000 0.000 0.000
N3 0.255 0.510 0.107
N4 0.255 0.510 0.393
Pu2 0.631 0.263 0.452
N5 0.745 0.490 0.893
Pu3 0.369 0.737 0.952
Pu4 0.369 0.737 0.548
Tc2 0.832 0.663 0.750
N6 0.575 0.149 0.250
Ac1 0.909 0.819 0.250
Ac2 0.091 0.181 0.750
N7 0.745 0.490 0.607
N8 0.425 0.851 0.750

Properties
V   15.57 Å³ per atom
Total DFT energy (no corrections)   -0.7706 Ry/atom

---

Record 3
The following is a DFT calculation (PBE) of a geometry-optimized LuMg2Nb structure.

abc: 3.027 3.027 11.680
angles: 82.55 82.55 60.00
Fractional coordinates of all 4 atoms:
Nb1 0.000 0.000 0.000
Lu1 0.500 0.500 0.500
Mg1 0.084 0.084 0.749
Mg2 0.916 0.916 0.251

Properties
V   22.91 Å³ per atom
Calculated formation energy   477 meV/atom
Total DFT energy (no corrections)   -0.2917 Ry/atom

---

Record 4
The following is a DFT calculation (PBE) of a geometry-optimized PuCdPbO6 structure.

abc: 5.727 5.727 9.520
angles: 90.00 90.00 120.00
Fractional coordinates of all 18 atoms:
Cd1 0.000 0.000 0.000
O1 0.367 0.034 0.132
O2 0.633 0.667 0.632
Pu1 0.667 0.333 0.250
O3 0.966 0.333 0.132
Pu2 0.333 0.667 0.750
Pb1 0.667 0.333 0.750
O4 0.966 0.633 0.368
O5 0.633 0.966 0.868
O6 0.667 0.633 0.132
O7 0.034 0.367 0.632
Cd2 0.000 0.000 0.500
Pb2 0.333 0.667 0.250
O8 0.333 0.966 0.632
O9 0.367 0.333 0.368
O10 0.333 0.367 0.868
O11 0.667 0.034 0.368
O12 0.034 0.667 0.868

Properties
V   15.03 Å³ per atom
Total DFT energy (no corrections)   -0.5100 Ry/atom